Li4Tb3DyS8: relaxed, PBE-GGA.

Lattice parameters (Å, degrees): 7.6667 7.6667 7.6667 61.64 61.64 61.64
Element x y z (fractional)
Li 0.0000 0.0000 0.0000
Li 0.0000 0.5000 0.5000
Li 0.5000 0.0000 0.5000
Li 0.5000 0.5000 0.0000
Tb 0.0000 0.0000 0.5000
Tb 0.0000 0.5000 0.0000
Tb 0.5000 0.0000 0.0000
Dy 0.5000 0.5000 0.5000
S 0.2505 0.2505 0.2505
S 0.2503 0.2503 0.7485
S 0.2503 0.7485 0.2503
S 0.2515 0.7497 0.7497
S 0.7485 0.2503 0.2503
S 0.7497 0.2515 0.7497
S 0.7497 0.7497 0.2515
S 0.7495 0.7495 0.7495

Output
Its raw formation energy is -1.85 eV/atom. As for the crystal system: trigonal.

TaTiGa2Sb: relaxed, PBE-GGA.

Lattice parameters (Å, degrees): 5.0380 5.0380 5.2034 90.00 90.00 90.00
Element x y z (fractional)
Ta 0.0000 0.0000 0.0000
Ti 0.5000 0.5000 0.0000
Ga 0.0000 0.5000 0.5000
Ga 0.5000 0.0000 0.5000
Sb 0.0000 0.0000 0.5000

Output
Its raw formation energy is 1.44 eV/atom. As for the crystal system: tetragonal.

no.,calculated volume (Å³ per atom),spin magnetization (μB per atom)
1,20.65,0.000
2,26.41,0.000